Entry from Alexandria via LeMat-Bulk: a geometry-optimized Tb6Ga2Pt structure (PBE).

CIF file:
```
data_Tb6Ga2Pt
_chemical_formula_sum 'Tb12 Ga4 Pt2'
_symmetry_space_group_name_H-M 'P 1'
_symmetry_Int_Tables_number 1
_symmetry_space_group_name_Hall 'P 1'
_cell_length_a 6.1011
_cell_length_b 8.3247
_cell_length_c 9.6992
_cell_angle_alpha 90.00
_cell_angle_beta 86.84
_cell_angle_gamma 90.00
loop_
_atom_site_label
_atom_site_type_symbol
_atom_site_fract_x
_atom_site_fract_y
_atom_site_fract_z
_atom_site_occupancy
Tb1 Tb 0.8893 0.6789 0.9404 1
Tb2 Tb 0.3893 0.8211 0.4404 1
Tb3 Tb 0.1107 0.3211 0.0596 1
Tb4 Tb 0.6195 0.4659 0.2679 1
Tb5 Tb 0.8805 0.9659 0.2321 1
Tb6 Tb 0.6107 0.1789 0.5596 1
Tb7 Tb 0.3805 0.5341 0.7321 1
Tb8 Tb 0.6257 0.1727 0.9410 1
Tb9 Tb 0.3743 0.8273 0.0590 1
Tb10 Tb 0.1257 0.3273 0.4410 1
Tb11 Tb 0.1195 0.0341 0.7679 1
Tb12 Tb 0.8743 0.6727 0.5590 1
Pt1 Pt 0.5000 0.5000 0.0000 1
Pt2 Pt 0.0000 0.0000 0.5000 1
Ga1 Ga 0.4282 0.1250 0.2520 1
Ga2 Ga 0.9282 0.3750 0.7520 1
Ga3 Ga 0.5718 0.8750 0.7480 1
Ga4 Ga 0.0718 0.6250 0.2480 1
```

Values from the calculation:
The calculation puts the formation energy at -0.479 eV per atom. The value obtained for the density of states at the Fermi level is 1.147 states/eV per atom. The calculation puts the total magnetization at 0.000 μB per cell. For the total energy, the calculation gives -4.909 eV/atom. As for the space group: No. 14.

Entry from Alexandria via LeMat-Bulk: a geometry-optimized Dy4Er2N structure (PBE).

CIF file:
```
data_Dy4Er2N
_chemical_formula_sum 'Dy4 Er2 N1'
_symmetry_space_group_name_H-M 'P 1'
_symmetry_Int_Tables_number 1
_symmetry_space_group_name_Hall 'P 1'
_cell_length_a 4.7768
_cell_length_b 4.7768
_cell_length_c 9.3574
_cell_angle_alpha 75.21
_cell_angle_beta 75.21
_cell_angle_gamma 90.00
loop_
_atom_site_label
_atom_site_type_symbol
_atom_site_fract_x
_atom_site_fract_y
_atom_site_fract_z
_atom_site_occupancy
Dy1 Dy 0.8663 0.8663 0.2675 1
Dy2 Dy 0.5000 0.0000 0.0000 1
Dy3 Dy 0.0000 0.5000 0.0000 1
Dy4 Dy 0.1337 0.1337 0.7325 1
N1 N 0.0000 0.0000 0.0000 1
Er1 Er 0.6672 0.6672 0.6656 1
Er2 Er 0.3328 0.3328 0.3344 1
```

Values from the calculation:
The value obtained for the uncorrected formation energy is -0.258 eV per atom. The value obtained for the density of states at the Fermi level is 1.091 states/eV per atom. The calculation puts the total magnetization at 0.000 μB per cell. For the total energy, the calculation gives -5.381 eV/atom. As for the space group: No. 139.

Entry from Alexandria via LeMat-Bulk: a geometry-optimized SmGa3FeCo structure (PBE).

CIF file:
```
data_SmGa3FeCo
_chemical_formula_sum 'Sm2 Ga6 Fe2 Co2'
_symmetry_space_group_name_H-M 'P 1'
_symmetry_Int_Tables_number 1
_symmetry_space_group_name_Hall 'P 1'
_cell_length_a 5.7376
_cell_length_b 7.4511
_cell_length_c 6.3225
_cell_angle_alpha 126.10
_cell_angle_beta 90.00
_cell_angle_gamma 90.00
loop_
_atom_site_label
_atom_site_type_symbol
_atom_site_fract_x
_atom_site_fract_y
_atom_site_fract_z
_atom_site_occupancy
Ga1 Ga 0.5000 0.2461 0.0000 1
Ga2 Ga 0.0000 0.2461 0.0000 1
Ga3 Ga 0.7500 0.7228 0.4457 1
Ga4 Ga 0.5000 0.7539 0.0000 1
Ga5 Ga 0.2500 0.2772 0.5543 1
Ga6 Ga 0.0000 0.7539 0.0000 1
Co1 Co 0.2500 0.4961 0.9922 1
Co2 Co 0.7500 0.5039 0.0078 1
Fe1 Fe 0.2500 0.0561 0.1121 1
Fe2 Fe 0.7500 0.9439 0.8879 1
Sm1 Sm 0.7500 0.2273 0.4546 1
Sm2 Sm 0.2500 0.7727 0.5454 1
```

Values from the calculation:
The calculation puts the formation energy at -0.181 eV per atom. The value obtained for the density of states at the Fermi level is 0.472 states/eV per atom. The calculation puts the total magnetization at 0.000 μB per cell. For the total energy, the calculation gives -5.076 eV/atom. As for the space group: No. 63.

Entry from Alexandria via LeMat-Bulk: a geometry-optimized BaMg2Zr structure (PBE).

CIF file:
```
data_BaMg2Zr
_chemical_formula_sum 'Ba1 Mg2 Zr1'
_symmetry_space_group_name_H-M 'P 1'
_symmetry_Int_Tables_number 1
_symmetry_space_group_name_Hall 'P 1'
_cell_length_a 5.4975
_cell_length_b 5.4975
_cell_length_c 5.4975
_cell_angle_alpha 60.00
_cell_angle_beta 60.00
_cell_angle_gamma 60.00
loop_
_atom_site_label
_atom_site_type_symbol
_atom_site_fract_x
_atom_site_fract_y
_atom_site_fract_z
_atom_site_occupancy
Mg1 Mg 0.2500 0.2500 0.2500 1
Mg2 Mg 0.0000 0.0000 0.0000 1
Zr1 Zr 0.7500 0.7500 0.7500 1
Ba1 Ba 0.5000 0.5000 0.5000 1
```

Values from the calculation:
The calculation puts the formation energy at 0.478 eV per atom. The value obtained for the density of states at the Fermi level is 1.268 states/eV per atom. The calculation puts the total magnetization at 2.174 μB per cell. For the total energy, the calculation gives -2.937 eV/atom. As for the space group: No. 216.

Entry from Alexandria via LeMat-Bulk: a geometry-optimized TlCr2Os structure (PBE).

CIF file:
```
data_TlCr2Os
_chemical_formula_sum 'Tl1 Cr2 Os1'
_symmetry_space_group_name_H-M 'P 1'
_symmetry_Int_Tables_number 1
_symmetry_space_group_name_Hall 'P 1'
_cell_length_a 4.8373
_cell_length_b 4.8373
_cell_length_c 4.7974
_cell_angle_alpha 75.45
_cell_angle_beta 75.45
_cell_angle_gamma 35.27
loop_
_atom_site_label
_atom_site_type_symbol
_atom_site_fract_x
_atom_site_fract_y
_atom_site_fract_z
_atom_site_occupancy
Cr1 Cr 0.7461 0.7461 0.7458 1
Cr2 Cr 0.0230 0.0230 0.9600 1
Tl1 Tl 0.2515 0.2515 0.2424 1
Os1 Os 0.4793 0.4793 0.5519 1
```

Values from the calculation:
The calculation puts the formation energy at 0.590 eV per atom. The value obtained for the density of states at the Fermi level is 0.838 states/eV per atom. The calculation puts the total magnetization at 0.007 μB per cell. For the total energy, the calculation gives -7.621 eV/atom. As for the space group: No. 8.

Entry from Alexandria via LeMat-Bulk: a geometry-optimized Cs2AsBr5Cl structure (PBE).

CIF file:
```
data_Cs2AsBr5Cl
_chemical_formula_sum 'Cs2 As1 Br5 Cl1'
_symmetry_space_group_name_H-M 'P 1'
_symmetry_Int_Tables_number 1
_symmetry_space_group_name_Hall 'P 1'
_cell_length_a 7.7996
_cell_length_b 7.7996
_cell_length_c 7.7996
_cell_angle_alpha 88.79
_cell_angle_beta 120.70
_cell_angle_gamma 120.70
loop_
_atom_site_label
_atom_site_type_symbol
_atom_site_fract_x
_atom_site_fract_y
_atom_site_fract_z
_atom_site_occupancy
Cs1 Cs 0.5000 0.2484 0.7484 1
Cs2 Cs 0.5000 0.7484 0.2484 1
Br1 Br 0.4743 0.2346 0.2346 1
Br2 Br 0.0000 0.7604 0.2346 1
Br3 Br 0.0000 0.2330 0.2330 1
Br4 Br 0.5257 0.7604 0.7604 1
Br5 Br 0.0000 0.2346 0.7604 1
Cl1 Cl 0.0000 0.7824 0.7824 1
As1 As 0.0000 0.9979 0.9979 1
```

Values from the calculation:
The value obtained for the uncorrected formation energy is -1.051 eV per atom. The value obtained for the density of states at the Fermi level is 0.490 states/eV per atom. The calculation puts the total magnetization at 0.000 μB per cell. For the total energy, the calculation gives -2.892 eV/atom. As for the space group: No. 107.

Entry from Alexandria via LeMat-Bulk: a geometry-optimized Be4Fe3Si2 structure (PBE).

CIF file:
```
data_Be4Fe3Si2
_chemical_formula_sum 'Be8 Fe6 Si4'
_symmetry_space_group_name_H-M 'P 1'
_symmetry_Int_Tables_number 1
_symmetry_space_group_name_Hall 'P 1'
_cell_length_a 4.0945
_cell_length_b 6.7288
_cell_length_c 6.7288
_cell_angle_alpha 69.80
_cell_angle_beta 82.14
_cell_angle_gamma 82.14
loop_
_atom_site_label
_atom_site_type_symbol
_atom_site_fract_x
_atom_site_fract_y
_atom_site_fract_z
_atom_site_occupancy
Be1 Be 0.4817 0.9321 0.1734 1
Be2 Be 0.5183 0.0679 0.8266 1
Be3 Be 0.9817 0.1734 0.9321 1
Be4 Be 0.1409 0.6054 0.8659 1
Be5 Be 0.8591 0.3946 0.1341 1
Be6 Be 0.0183 0.8266 0.0679 1
Be7 Be 0.6409 0.8659 0.6054 1
Be8 Be 0.3591 0.1341 0.3946 1
Fe1 Fe 0.7500 0.6230 0.3770 1
Fe2 Fe 0.0885 0.9570 0.7107 1
Fe3 Fe 0.2500 0.3770 0.6230 1
Fe4 Fe 0.4115 0.2893 0.0430 1
Fe5 Fe 0.9115 0.0430 0.2893 1
Fe6 Fe 0.5885 0.7107 0.9570 1
Si1 Si 0.7026 0.4918 0.7475 1
Si2 Si 0.2026 0.7475 0.4918 1
Si3 Si 0.7974 0.2525 0.5082 1
Si4 Si 0.2974 0.5082 0.2525 1
```

Values from the calculation:
The value obtained for the uncorrected formation energy is -0.279 eV per atom. The value obtained for the density of states at the Fermi level is 0.482 states/eV per atom. The calculation puts the total magnetization at 3.906 μB per cell. For the total energy, the calculation gives -5.961 eV/atom. As for the space group: No. 15.

Entry from Alexandria via LeMat-Bulk: a geometry-optimized Ba2NiHgN structure (PBE).

CIF file:
```
data_Ba2NiHgN
_chemical_formula_sum 'Ba2 Ni1 Hg1 N1'
_symmetry_space_group_name_H-M 'P 1'
_symmetry_Int_Tables_number 1
_symmetry_space_group_name_Hall 'P 1'
_cell_length_a 5.9316
_cell_length_b 5.9316
_cell_length_c 3.6342
_cell_angle_alpha 90.00
_cell_angle_beta 90.00
_cell_angle_gamma 90.00
loop_
_atom_site_label
_atom_site_type_symbol
_atom_site_fract_x
_atom_site_fract_y
_atom_site_fract_z
_atom_site_occupancy
Ba1 Ba 0.5000 0.0000 0.0000 1
Ba2 Ba 0.0000 0.5000 0.0000 1
Hg1 Hg 0.5000 0.5000 0.5000 1
N1 N 0.0000 0.0000 0.0000 1
Ni1 Ni 0.0000 0.0000 0.5000 1
```

Values from the calculation:
The value obtained for the uncorrected formation energy is -0.398 eV per atom. The value obtained for the density of states at the Fermi level is 0.805 states/eV per atom. The calculation puts the total magnetization at 0.000 μB per cell. For the total energy, the calculation gives -4.049 eV/atom. As for the space group: No. 123.

Entry from Alexandria via LeMat-Bulk: a geometry-optimized LaTc2Ru structure (PBE).

CIF file:
```
data_LaTc2Ru
_chemical_formula_sum 'La1 Tc2 Ru1'
_symmetry_space_group_name_H-M 'P 1'
_symmetry_Int_Tables_number 1
_symmetry_space_group_name_Hall 'P 1'
_cell_length_a 5.1884
_cell_length_b 5.1884
_cell_length_c 5.0535
_cell_angle_alpha 78.46
_cell_angle_beta 78.46
_cell_angle_gamma 33.86
loop_
_atom_site_label
_atom_site_type_symbol
_atom_site_fract_x
_atom_site_fract_y
_atom_site_fract_z
_atom_site_occupancy
Tc1 Tc 0.5293 0.5293 0.4325 1
Tc2 Tc 0.9707 0.9707 0.0675 1
La1 La 0.7500 0.7500 0.7500 1
Ru1 Ru 0.2500 0.2500 0.2500 1
```

Values from the calculation:
The calculation puts the formation energy at 0.342 eV per atom. The value obtained for the density of states at the Fermi level is 1.413 states/eV per atom. The calculation puts the total magnetization at 0.000 μB per cell. For the total energy, the calculation gives -8.392 eV/atom. As for the space group: No. 12.

Entry from Alexandria via LeMat-Bulk: a geometry-optimized Ac12NdSm3 structure (PBE).

CIF file:
```
data_Ac12NdSm3
_chemical_formula_sum 'Ac12 Nd1 Sm3'
_symmetry_space_group_name_H-M 'P 1'
_symmetry_Int_Tables_number 1
_symmetry_space_group_name_Hall 'P 1'
_cell_length_a 5.5271
_cell_length_b 5.5271
_cell_length_c 22.0334
_cell_angle_alpha 90.00
_cell_angle_beta 90.00
_cell_angle_gamma 90.00
loop_
_atom_site_label
_atom_site_type_symbol
_atom_site_fract_x
_atom_site_fract_y
_atom_site_fract_z
_atom_site_occupancy
Ac1 Ac 0.5000 0.5000 0.7495 1
Ac2 Ac 0.5000 0.5000 0.2505 1
Ac3 Ac 0.5000 0.0000 0.3752 1
Ac4 Ac 0.5000 0.0000 0.8744 1
Ac5 Ac 0.0000 0.5000 0.1256 1
Ac6 Ac 0.5000 0.5000 0.5000 1
Ac7 Ac 0.0000 0.5000 0.6248 1
Ac8 Ac 0.0000 0.5000 0.3752 1
Ac9 Ac 0.5000 0.0000 0.1256 1
Ac10 Ac 0.5000 0.0000 0.6248 1
Ac11 Ac 0.5000 0.5000 0.0000 1
Ac12 Ac 0.0000 0.5000 0.8744 1
Sm1 Sm 0.0000 0.0000 0.5000 1
Sm2 Sm 0.0000 0.0000 0.7496 1
Sm3 Sm 0.0000 0.0000 0.2504 1
Nd1 Nd 0.0000 0.0000 0.0000 1
```

Values from the calculation:
The calculation puts the formation energy at 0.027 eV per atom. The value obtained for the density of states at the Fermi level is 1.690 states/eV per atom. The calculation puts the total magnetization at 0.000 μB per cell. For the total energy, the calculation gives -4.238 eV/atom. As for the space group: No. 123.